Record 1
ScCdGa (GGA-PBE, optimized geometry); E_form = -31 kJ/mol of atoms; space group = C2/m (12); volume = 20.7 Å³/atom; magnetization = 0.00 μB per formula unit
1.0
6.362 0.018 -0.040
-0.880 5.121 -0.005
1.300 0.227 3.807
Sc Ga Cd
2 2 2
Cartesian
4.045 3.034 1.362
0.939 1.040 0.408
1.652 3.676 0.009
3.331 0.398 1.762
5.808 0.745 3.027
0.475 3.556 2.550

Record 2
ScCdGa (GGA-PBE, optimized geometry); E_form = -34 kJ/mol of atoms; space group = C2/m (12); volume = 20.5 Å³/atom; magnetization = 0.00 μB per formula unit
1.0
6.258 -0.005 -0.003
2.663 5.112 -0.004
1.365 -0.707 3.834
Sc Ga Cd
2 2 2
Cartesian
8.511 3.671 2.066
5.456 1.992 0.619
6.307 4.799 0.832
1.403 0.869 1.855
5.190 3.729 3.259
3.885 1.233 3.263

Record 3
ScCd2Ga (GGA-PBE, optimized geometry); E_form = -28 kJ/mol of atoms; space group = P4/mmm (123); volume = 20.4 Å³/atom; magnetization = 0.00 μB per formula unit
1.0
-0.777 3.795 2.357
-4.142 -0.325 -0.842
-0.536 -2.297 3.523
Sc Ga Cd
1 1 2
Cartesian
-0.389 1.898 1.178
-2.728 0.586 2.518
-0.268 -1.149 1.761
-2.071 -0.163 -0.421

Record 4
ScCdGa3 (GGA-PBE, optimized geometry); energy above the lowest structure with this stoichiometry = 0 meV per atom; E_form = 48 kJ/mol of atoms; space group = Pm-3m (221); volume = 25.7 Å³/atom; magnetization = 0.00 μB per formula unit
1.0
-0.705 -3.917 -3.102
3.158 2.078 -3.342
3.871 -2.408 2.161
Sc Ga Cd
1 3 1
Cartesian
3.162 -2.124 -2.141
1.579 1.039 -1.671
1.936 -1.204 1.081
-0.352 -1.958 -1.551
0.000 0.000 0.000

Record 5
ScCd3Ga (GGA-PBE, optimized geometry); energy above the lowest structure with this stoichiometry = 331 meV per atom; E_form = 66 kJ/mol of atoms; space group = Pm-3m (221); volume = 35.3 Å³/atom; magnetization = 0.00 μB per formula unit
1.0
-2.647 3.696 -3.283
0.796 -3.356 -4.421
-4.879 -2.553 1.060
Sc Ga Cd
1 1 3
Cartesian
0.000 0.000 0.000
-3.365 -1.107 -3.322
0.398 -1.678 -2.210
-2.439 -1.277 0.530
-1.324 1.848 -1.641

Record 6
Sc2CdGa2 (GGA-PBE, optimized geometry); E_form = -7 kJ/mol of atoms; space group = I4/mmm (139); volume = 22.6 Å³/atom; magnetization = 1.00 μB per formula unit
1.0
4.397 0.000 0.000
0.000 4.397 0.000
2.198 2.198 5.844
Sc Ga Cd
2 2 1
Cartesian
4.397 2.198 2.922
2.198 4.397 2.922
2.198 2.198 1.176
4.397 4.397 4.668
0.000 0.000 0.000

Record 7
Sc7CdGa4 (GGA-PBE, optimized geometry); E_form = -23 kJ/mol of atoms; space group = C2/m (12); volume = 21.7 Å³/atom; magnetization = 0.50 μB per formula unit
1.0
-3.543 -0.667 3.821
-5.835 -5.197 -2.706
1.168 -5.694 3.701
Sc Cd Ga
7 1 4
Cartesian
-7.312 -8.232 2.618
-0.898 -3.326 2.198
-3.610 -4.742 -0.564
-4.600 -6.817 5.379
-3.879 -7.771 2.270
-1.772 -0.334 1.911
-4.332 -3.787 2.546
0.000 0.000 0.000
-2.611 -5.295 3.878
-5.599 -6.263 0.938
-5.244 -9.296 4.350
-2.967 -2.262 0.466

Record 8
ScCd2Ga (GGA-PBE, optimized geometry); E_form = -5 kJ/mol of atoms; space group = I-42d (122); volume = 22.5 Å³/atom; magnetization = 0.00 μB per formula unit
1.0
4.119 0.000 0.000
0.000 4.119 0.000
2.059 2.059 10.604
Sc Ga Cd
2 2 4
Cartesian
2.059 2.059 0.000
2.059 4.119 5.302
0.000 0.000 0.000
4.119 2.059 5.302
3.112 1.030 2.651
1.006 3.089 2.651
3.089 3.066 7.953
5.148 5.172 7.953

Record 9
ScCdGa (GGA-PBE, optimized geometry); E_form = -38 kJ/mol of atoms; space group = Cmcm (63); volume = 20.0 Å³/atom; magnetization = 0.00 μB per formula unit
1.0
3.302 0.000 -0.555
0.000 4.288 0.000
-0.263 0.000 8.538
Sc Cd Ga
2 2 2
Cartesian
1.921 3.216 1.332
1.117 1.072 6.651
2.453 3.216 4.497
0.586 1.072 3.487
2.913 3.216 7.234
0.126 1.072 0.750

Record 10
Sc5Cd4Ga (GGA-PBE, optimized geometry); E_form = -34 kJ/mol of atoms; space group = P4/mmm (123); volume = 21.5 Å³/atom; magnetization = 0.00 μB per formula unit
1.0
-1.615 2.982 0.836
-1.333 -1.520 2.847
14.074 5.024 9.274
Sc Cd Ga
5 4 1
Cartesian
-0.196 1.187 2.684
2.678 2.213 4.578
5.563 3.243 6.479
8.448 4.273 8.380
11.322 5.298 10.274
2.731 0.975 1.799
5.593 1.997 3.686
8.481 3.028 5.589
11.344 4.049 7.475
0.000 0.000 0.000

Record 11
Sc6CdGa2 (GGA-PBE, optimized geometry); energy above the lowest structure with this stoichiometry = 0 meV per atom; E_form = -36 kJ/mol of atoms; space group = Immm (71); volume = 22.2 Å³/atom; magnetization = 0.00 μB per formula unit
1.0
7.518 -0.103 -2.891
-3.971 6.679 -2.124
-0.223 0.103 8.052
Sc Cd Ga
12 2 4
Cartesian
0.970 4.842 3.474
2.355 1.838 -0.437
-0.595 1.941 5.686
3.920 4.738 -2.649
2.881 5.014 0.540
0.443 1.665 2.497
-1.691 5.118 5.515
5.016 1.562 -2.478
3.628 2.573 2.609
-0.303 4.106 0.428
-1.807 6.539 2.554
5.132 0.141 0.483
-2.097 3.391 2.964
0.000 0.000 0.000
2.076 2.543 4.803
1.249 4.136 -1.766
4.753 0.000 3.362
2.543 0.000 1.799

Record 12
Sc5CdGa (GGA-PBE, optimized geometry); E_form = -10 kJ/mol of atoms; space group = C2/c (15); volume = 23.3 Å³/atom; magnetization = 0.00 μB per formula unit
1.0
-1.208 1.601 -5.431
-2.614 -5.047 -1.101
-7.977 4.192 3.845
Sc Cd Ga
10 2 2
Cartesian
-3.112 -2.320 -0.027
-5.417 0.090 0.023
-6.248 3.807 -0.730
-3.431 1.567 -3.765
-2.702 -2.897 -3.683
-9.098 3.644 0.996
-8.369 -0.821 1.078
-5.552 -3.060 -1.956
-6.383 0.656 -2.709
-8.688 3.067 -2.659
0.000 0.000 0.000
-3.989 2.096 1.923
-3.915 -0.719 -2.276
-7.885 1.466 -0.411